VASP calculation (PBE-GGA) on a relaxed structure of Ni6HPd2N.

a = 5.286 Å, b = 5.286 Å, c = 5.292 Å
α = 59.91°, β = 59.91°, γ = 89.91°
Fractional positions:
1 Pd 0.250 0.750 0.500
2 Pd 0.750 0.250 0.500
3 Ni 0.248 0.752 0.000
4 Ni 0.248 0.248 0.000
5 Ni 0.752 0.752 0.000
6 Ni 0.752 0.248 0.000
7 Ni 0.752 0.752 0.495
8 Ni 0.248 0.248 0.505
9 N 0.500 0.500 0.000
10 H 0.000 0.000 0.000

Computed properties:
Electronic total energy (eV/atom): -5.653
Symmetry: Immm (71)

***

VASP calculation (PBE-GGA) on a relaxed structure of AgTeOs2.

a = 3.200 Å, b = 3.200 Å, c = 6.552 Å
α = 90.00°, β = 90.00°, γ = 90.00°
Fractional positions:
1 Os 0.000 0.000 0.485
2 Os 0.000 0.000 0.015
3 Ag 0.500 0.500 0.750
4 Te 0.500 0.500 0.250

Computed properties:
Symmetry: P4/mmm (123)
Energy relative to the elements, uncorrected (eV per atom): 0.97

***

VASP calculation (PBE-GGA) on a relaxed structure of La3Tb3Cd.

a = 5.678 Å, b = 9.616 Å, c = 9.617 Å
α = 120.01°, β = 90.00°, γ = 90.00°
Fractional positions:
1 La 0.250 0.526 0.633
2 La 0.750 0.474 0.367
3 La 0.750 0.893 0.526
4 La 0.250 0.107 0.474
5 La 0.750 0.633 0.107
6 La 0.250 0.367 0.893
7 Tb 0.750 0.764 0.821
8 Tb 0.750 0.057 0.236
9 Tb 0.250 0.821 0.057
10 Tb 0.250 0.236 0.179
11 Tb 0.750 0.179 0.943
12 Tb 0.250 0.943 0.764
13 Cd 0.750 0.333 0.667
14 Cd 0.250 0.667 0.333

Computed properties:
Symmetry: P6_3/m (176)
ΔH_f (0 K) (eV/f.u.): -0.3

***

VASP calculation (PBE-GGA) on a relaxed structure of ZrCdP2.

a = 4.714 Å, b = 4.714 Å, c = 4.714 Å
α = 60.00°, β = 60.00°, γ = 60.00°
Fractional positions:
1 Zr 0.750 0.750 0.750
2 P 0.250 0.250 0.250
3 P 0.000 0.000 0.000
4 Cd 0.500 0.500 0.500

Computed properties:
Symmetry: F-43m (216)
ΔH_f (0 K) (eV/f.u.): 1.0

***

VASP calculation (PBE-GGA) on a relaxed structure of PrTm2Sc.

a = 3.575 Å, b = 6.591 Å, c = 6.591 Å
α = 55.03°, β = 74.28°, γ = 74.28°
Fractional positions:
1 Sc 0.750 0.669 0.831
2 Tm 0.008 0.069 0.915
3 Tm 0.492 0.585 0.431
4 Pr 0.250 0.178 0.322

Computed properties:
Symmetry: Imm2 (44)
Energy above the lowest structure with this stoichiometry (meV/atom): 0
ΔH_f (0 K) (eV/f.u.): 0.1

***

VASP calculation (PBE-GGA) on a relaxed structure of Mg3Si5Ir6.

a = 3.944 Å, b = 8.966 Å, c = 12.459 Å
α = 90.00°, β = 90.00°, γ = 90.00°
Fractional positions:
1 Ir 0.000 0.999 0.166
2 Ir 0.000 0.596 0.698
3 Ir 0.500 0.404 0.198
4 Ir 0.000 0.988 0.500
5 Ir 0.500 0.012 0.000
6 Ir 0.000 0.467 0.500
7 Ir 0.500 0.533 0.000
8 Ir 0.000 0.999 0.834
9 Ir 0.000 0.596 0.302
10 Ir 0.500 0.001 0.666
11 Ir 0.500 0.404 0.802
12 Ir 0.500 0.001 0.334
13 Mg 0.000 0.249 0.328
14 Mg 0.000 0.257 0.000
15 Mg 0.500 0.743 0.500
16 Mg 0.000 0.249 0.672
17 Mg 0.500 0.751 0.172
18 Mg 0.500 0.751 0.828
19 Si 0.000 0.850 0.331
20 Si 0.000 0.529 0.118
21 Si 0.000 0.850 0.669
22 Si 0.500 0.471 0.382
23 Si 0.000 0.529 0.882
24 Si 0.500 0.471 0.618
25 Si 0.500 0.150 0.169
26 Si 0.000 0.857 0.000
27 Si 0.500 0.143 0.500
28 Si 0.500 0.150 0.831

Computed properties:
Symmetry: Pmmn (59)
Energy relative to the elements, uncorrected (eV per atom): -0.62

***

Calculated values (μB per formula unit) of spin magnetization for the records, taken in order: 0.00, 0.00, 0.00, 0.00, 0.00, 0.00.
Calculated values (states/eV/atom) of Fermi-level density of states for the records, taken in order: 1.3000, 0.8523, 1.3481, 0.5424, 1.5876, 0.2664.